! PBE-GGA ReSi2Ru, optimized geometry; values from VASP
! Formation energy without anion corrections   -1.4 eV per formula unit
! Space group   Cm (8)
&SYSTEM
  ibrav = 0, nat = 4, ntyp = 3
/
ATOMIC_SPECIES
Re 186.21 Re.upf
Si 28.09 Si.upf
Ru 101.07 Ru.upf
ATOMIC_POSITIONS crystal
Re 0.0000 0.0000 0.0000
Si 0.4982 0.4982 0.4837
Si 0.7462 0.7462 0.1334
Ru 0.2427 0.2427 0.6137
CELL_PARAMETERS angstrom
4.3950 -1.4618 0.0000
4.3950 1.4618 0.0000
-1.2710 0.0000 4.1552

---

! PBE-GGA KSc3Ag2Te6, optimized geometry; values from VASP
! Formation energy without anion corrections   -10.5 eV per formula unit
! Space group   C2/m (12)
&SYSTEM
  ibrav = 0, nat = 12, ntyp = 4
/
ATOMIC_SPECIES
K 39.10 K.upf
Sc 44.96 Sc.upf
Ag 107.87 Ag.upf
Te 127.60 Te.upf
ATOMIC_POSITIONS crystal
K 0.0000 0.0000 0.0000
Sc 0.0000 0.0000 0.5000
Sc 0.3439 0.3439 0.1790
Sc 0.6561 0.6561 0.8210
Ag 0.3475 0.3475 0.7642
Ag 0.6525 0.6525 0.2358
Te 0.1653 0.1653 0.6204
Te 0.1790 0.1790 0.0579
Te 0.4888 0.4888 0.7067
Te 0.5112 0.5112 0.2933
Te 0.8210 0.8210 0.9421
Te 0.8347 0.8347 0.3796
CELL_PARAMETERS angstrom
9.3451 -2.1400 0.0000
9.3451 2.1400 0.0000
-3.0436 0.0000 9.0609

---

! PBE-GGA PmU5As6, optimized geometry; values from VASP
! Energy of formation   -0.85 eV per atom
! Space group   C2/m (12)
&SYSTEM
  ibrav = 0, nat = 12, ntyp = 3
/
ATOMIC_SPECIES
Pm 145.00 Pm.upf
U 238.03 U.upf
As 74.92 As.upf
ATOMIC_POSITIONS crystal
Pm 0.0000 0.0000 0.0000
U 0.1652 0.8348 0.5000
U 0.3334 0.6666 0.0000
U 0.5000 0.5000 0.5000
U 0.6666 0.3334 0.0000
U 0.8348 0.1652 0.5000
As 0.0846 0.4227 0.2529
As 0.2539 0.2539 0.7477
As 0.4227 0.0846 0.2529
As 0.5773 0.9154 0.7471
As 0.7461 0.7461 0.2523
As 0.9154 0.5773 0.7471
CELL_PARAMETERS angstrom
3.5643 -6.1850 0.0000
3.5643 6.1850 0.0000
-2.3851 0.0000 6.6917

---

! PBE-GGA Ca2CoAsPt, optimized geometry; values from VASP
! Energy of formation   0.06 eV per atom
! Space group   P4/mmm (123)
&SYSTEM
  ibrav = 0, nat = 5, ntyp = 4
/
ATOMIC_SPECIES
Ca 40.08 Ca.upf
Co 58.93 Co.upf
As 74.92 As.upf
Pt 195.08 Pt.upf
ATOMIC_POSITIONS crystal
Ca 0.0000 0.5000 0.0000
Ca 0.5000 0.0000 0.0000
Co 0.0000 0.0000 0.5000
As 0.5000 0.5000 0.5000
Pt 0.5000 0.5000 0.0000
CELL_PARAMETERS angstrom
5.5873 0.0000 0.0000
0.0000 5.5873 0.0000
0.0000 0.0000 4.5916

---

! PBE-GGA Ba8TlPt4, optimized geometry; values from VASP
! Energy of formation   -0.57 eV per atom
! Space group   Cm (8)
&SYSTEM
  ibrav = 0, nat = 13, ntyp = 3
/
ATOMIC_SPECIES
Ba 137.33 Ba.upf
Tl 204.38 Tl.upf
Pt 195.08 Pt.upf
ATOMIC_POSITIONS crystal
Ba 0.0000 0.0000 0.0000
Ba 0.0076 0.0076 0.7245
Ba 0.0465 0.0465 0.4629
Ba 0.3108 0.3108 0.6666
Ba 0.4060 0.4060 0.1431
Ba 0.6704 0.6704 0.3464
Ba 0.7091 0.7091 0.0845
Ba 0.7169 0.7169 0.8095
Tl 0.3581 0.3581 0.4034
Pt 0.0348 0.0348 0.2400
Pt 0.2079 0.2079 0.9394
Pt 0.5088 0.5088 0.8697
Pt 0.6821 0.6821 0.5693
CELL_PARAMETERS angstrom
10.7701 -2.3408 0.0000
10.7701 2.3408 0.0000
-10.1494 0.0000 11.0677

---

! PBE-GGA SrTl2Au2, optimized geometry; values from VASP
! Energy above the most stable polymorph in this dataset   0.097 eV per atom
! Energy of formation   -0.29 eV per atom
! Space group   P4/mbm (127)
&SYSTEM
  ibrav = 0, nat = 10, ntyp = 3
/
ATOMIC_SPECIES
Sr 87.62 Sr.upf
Tl 204.38 Tl.upf
Au 196.97 Au.upf
ATOMIC_POSITIONS crystal
Sr 0.0000 0.0000 0.0000
Sr 0.5000 0.5000 0.0000
Tl 0.1688 0.3312 0.5000
Tl 0.3312 0.8312 0.5000
Tl 0.6688 0.1688 0.5000
Tl 0.8312 0.6688 0.5000
Au 0.1280 0.6280 0.0000
Au 0.3720 0.1280 0.0000
Au 0.6280 0.8720 0.0000
Au 0.8720 0.3720 0.0000
CELL_PARAMETERS angstrom
7.9926 0.0000 0.0000
0.0000 7.9926 0.0000
0.0000 0.0000 4.3115

---

| no. | M_tot (μB/f.u.) |
| --- | --- |
| 1 | 0.00 |
| 2 | 0.00 |
| 3 | 12.53 |
| 4 | 1.86 |
| 5 | 0.00 |
| 6 | 0.00 |